## ZrMo3N (meta-GGA SCAN)

Data for ZrMo3N at its PBEsol-relaxed geometry.

Structure (POSCAR):
```
ZrMo3N
1.0
4.166 0.000 0.000
0.000 4.166 0.000
0.000 0.000 4.166
Mo Zr N
3 1 1
Direct
0.000 0.000 0.500 Mo
0.000 0.500 0.000 Mo
0.500 0.000 0.000 Mo
0.500 0.500 0.500 Zr
0.000 0.000 0.000 N
```

Calculated values
Final energy   -29.11 eV per atom
Formation energy from raw total energies   -17 kJ per mole of atoms

## NaNdMo2O8 (meta-GGA SCAN)

Data for NaNdMo2O8 at its PBEsol-relaxed geometry.

Structure (POSCAR):
```
NaNdMo2O8
1.0
5.257 0.000 0.000
0.000 5.257 0.000
-2.628 -2.628 5.710
Mo O Na Nd
2 8 1 1
Direct
0.750 0.250 0.500 Mo
0.000 0.000 0.000 Mo
0.676 0.071 0.835 O
0.159 0.764 0.835 O
0.599 0.481 0.675 O
0.076 0.194 0.675 O
0.806 0.401 0.325 O
0.519 0.924 0.325 O
0.236 0.324 0.165 O
0.929 0.841 0.165 O
0.250 0.750 0.500 Na
0.500 0.500 0.000 Nd
```

Calculated values
Final energy   -16.59 eV per atom
Formation energy from raw total energies   -254 kJ per mole of atoms

## NaNiMo3 (meta-GGA SCAN)

Data for NaNiMo3 at its PBEsol-relaxed geometry.

Structure (POSCAR):
```
NaNiMo3
1.0
-3.362 2.435 1.392
-1.737 -3.514 1.950
2.202 0.945 3.664
Ni Mo Na
1 3 1
Direct
0.500 0.500 0.500 Ni
0.000 0.500 0.000 Mo
0.000 0.000 0.500 Mo
0.500 0.000 0.000 Mo
0.000 0.000 0.000 Na
```

Calculated values
Energy of formation from the pure elements   2.918 eV per atom
Final energy   -22.09 eV per atom

Q: What is the final energy in the third record?
A: -22.09 eV per atom

Q: What is the final energy in the third record?
A: -22.09 eV per atom

Q: final energy of number 3 (NaNiMo3)?
A: -22.09 eV per atom

Q: What is the formula in the first record?
A: ZrMo3N